Pa3VSe2O6, relaxed, DFT PBE with a Hubbard U; magnetic moment = 4.16 μB per cell; crystal system = monoclinic; raw total energy = -8.609 eV per atom; DOS(E_F) = 6.518 states/eV/cell
1.0
-3.844 4.064 1.422
-1.947 -3.975 6.094
3.867 6.027 0.512
Pa V Se O
3 1 2 6
direct
0.000 0.500 0.000
0.500 0.500 0.500
0.500 0.000 0.500
0.500 0.000 0.000
0.161 0.702 0.405
0.839 0.298 0.595
0.739 0.383 0.166
0.261 0.617 0.834
0.578 0.825 0.649
0.422 0.175 0.351
0.261 0.217 0.834
0.739 0.783 0.166